(1)
Below is a relaxed structure of BeCuBi, with properties calculated at the GGA-PBE level.

Properties
Total magnetization: 0.0 μB per cell
Symmetry: P6_3/mmc, No. 194
Fermi-level density of states: 3.0 states/eV/cell
DFT total energy: -19.2 eV per cell

abc: 3.674 3.674 10.486
angles: 90.00 90.00 120.00
Atoms (fractional coordinates):
Be: 0.000 0.000 0.250
Be: 0.000 0.000 0.750
Bi: 0.000 0.000 0.000
Bi: 0.000 0.000 0.500
Cu: 0.333 0.667 0.250
Cu: 0.667 0.333 0.750


(2)
Below is a relaxed structure of BeCuBi, with properties calculated at the GGA-PBE level.

Properties
Total magnetization: 0.0 μB per cell
Symmetry: P-1, No. 2
Fermi-level density of states: 1.6 states/eV/cell
DFT total energy: -22.8 eV per cell

abc: 3.502 3.230 10.618
angles: 80.98 70.64 89.99
Atoms (fractional coordinates):
Be: 0.288 0.291 0.149
Be: 0.620 0.205 0.316
Bi: 0.026 0.413 0.913
Bi: 0.884 0.083 0.551
Cu: 0.116 0.702 0.320
Cu: 0.793 0.794 0.144


(3)
Below is a relaxed structure of BeCuBi, with properties calculated at the GGA-PBE level.

Properties
Total magnetization: 0.0 μB per cell
Symmetry: P6_3/mmc, No. 194
Fermi-level density of states: 1.0 states/eV/cell
DFT total energy: -19.4 eV per cell

abc: 4.246 4.246 7.222
angles: 90.00 90.00 120.00
Atoms (fractional coordinates):
Be: 0.333 0.667 0.250
Be: 0.667 0.333 0.750
Bi: 0.333 0.667 0.750
Bi: 0.667 0.333 0.250
Cu: 0.000 0.000 0.000
Cu: 0.000 0.000 0.500